{"formula": "SiPb", "functional": "PBE-GGA", "state": "optimized geometry", "cell": [[-2.206, -0.640, 7.312], [-4.934, -5.524, -1.972], [3.138, -3.045, 0.680]], "species": ["Si", "Pb", "Si", "Pb", "Si", "Pb", "Pb", "Si"], "fractional_positions": [[0.176, 0.176, 0.500], [0.180, 0.820, 0.500], [0.676, 0.324, 0.000], [0.680, 0.680, 0.000], [0.824, 0.824, 0.500], [0.820, 0.180, 0.500], [0.320, 0.320, 0.000], [0.324, 0.676, 0.000]], "spacegroup": "P4_2/mnm", "formation_energy_uncorrected_ev_per_atom": 0.519}